No. 1
Zr2TlRu | PBE | optimized geometry

Output
* DFT total energy: -7.1584 eV/atom

Cell and atoms, written as CIF:
```
data_Zr2TlRu
_chemical_formula_sum 'Zr8 Tl4 Ru4'
_space_group_name_H-M_alt 'F -4 3 m'
_space_group_IT_number 216
_space_group_name_Hall 'F -4 2 3'
_cell_length_a 6.804
_cell_length_b 6.804
_cell_length_c 6.804
_cell_angle_alpha 90.00
_cell_angle_beta 90.00
_cell_angle_gamma 90.00
loop_
_atom_site_label
_atom_site_type_symbol
_atom_site_fract_x
_atom_site_fract_y
_atom_site_fract_z
_atom_site_occupancy
Zr1 Zr 0.000 0.000 0.000 1
Zr2 Zr 0.250 0.250 0.250 1
Tl1 Tl 0.250 0.250 0.750 1
Ru1 Ru 0.000 0.000 0.500 1
```

=====

No. 2
ZrTl3Ru | PBE | optimized geometry

Output
* DFT total energy: -3.5594 eV/atom

Cell and atoms, written as CIF:
```
data_ZrTl3Ru
_chemical_formula_sum 'Zr1 Tl3 Ru1'
_space_group_name_H-M_alt 'P m -3 m'
_space_group_IT_number 221
_space_group_name_Hall '-P 4 2 3'
_cell_length_a 5.580
_cell_length_b 5.580
_cell_length_c 5.580
_cell_angle_alpha 90.00
_cell_angle_beta 90.00
_cell_angle_gamma 90.00
loop_
_atom_site_label
_atom_site_type_symbol
_atom_site_fract_x
_atom_site_fract_y
_atom_site_fract_z
_atom_site_occupancy
Zr1 Zr 0.000 0.000 0.000 1
Tl1 Tl 0.000 0.000 0.500 1
Ru1 Ru 0.500 0.500 0.500 1
```

=====

No. 3
ZrTl2Ru | PBE | optimized geometry

Output
* DFT total energy: -5.5378 eV/atom

Cell and atoms, written as CIF:
```
data_ZrTl2Ru
_chemical_formula_sum 'Zr3 Tl6 Ru3'
_space_group_name_H-M_alt 'R 3 m'
_space_group_IT_number 160
_space_group_name_Hall 'R 3 -2"'
_cell_length_a 3.3574
_cell_length_b 3.3574
_cell_length_c 28.6975
_cell_angle_alpha 90.00
_cell_angle_beta 90.00
_cell_angle_gamma 120.00
loop_
_atom_site_label
_atom_site_type_symbol
_atom_site_fract_x
_atom_site_fract_y
_atom_site_fract_z
_atom_site_occupancy
Zr1 Zr 0.0000 0.0000 0.0000 1
Tl1 Tl 0.0000 0.0000 0.2408 1
Tl2 Tl 0.0000 0.0000 0.4748 1
Ru1 Ru 0.0000 0.0000 0.7271 1
```

=====

No. 4
ZrTl2Ru | PBE | optimized geometry

Output
* DFT total energy: -5.4121 eV/atom

Cell and atoms, written as CIF:
```
data_ZrTl2Ru
_chemical_formula_sum 'Zr2 Tl4 Ru2'
_space_group_name_H-M_alt 'C 1 2/m 1'
_space_group_IT_number 12
_space_group_name_Hall '-C 2y'
_cell_length_a 9.952
_cell_length_b 3.440
_cell_length_c 5.075
_cell_angle_alpha 90.00
_cell_angle_beta 106.00
_cell_angle_gamma 90.00
loop_
_atom_site_label
_atom_site_type_symbol
_atom_site_fract_x
_atom_site_fract_y
_atom_site_fract_z
_atom_site_occupancy
Zr1 Zr 0.000 0.000 0.000 1
Tl1 Tl 0.237 0.000 0.733 1
Ru1 Ru 0.000 0.500 0.500 1
```

=====

No. 5
ZrTl2Ru | PBE | optimized geometry

Output
* DFT total energy: -5.3903 eV/atom

Cell and atoms, written as CIF:
```
data_ZrTl2Ru
_chemical_formula_sum 'Zr4 Tl8 Ru4'
_space_group_name_H-M_alt 'F m -3 m'
_space_group_IT_number 225
_space_group_name_Hall '-F 4 2 3'
_cell_length_a 6.848
_cell_length_b 6.848
_cell_length_c 6.848
_cell_angle_alpha 90.00
_cell_angle_beta 90.00
_cell_angle_gamma 90.00
loop_
_atom_site_label
_atom_site_type_symbol
_atom_site_fract_x
_atom_site_fract_y
_atom_site_fract_z
_atom_site_occupancy
Zr1 Zr 0.000 0.000 0.000 1
Tl1 Tl 0.250 0.250 0.250 1
Ru1 Ru 0.000 0.000 0.500 1
```

=====

No. 6
Zr2TlRu | PBE | optimized geometry

Output
* DFT total energy: -7.3085 eV/atom

Cell and atoms, written as CIF:
```
data_Zr2TlRu
_chemical_formula_sum 'Zr6 Tl3 Ru3'
_space_group_name_H-M_alt 'R -3 m'
_space_group_IT_number 166
_space_group_name_Hall '-R 3 2"'
_cell_length_a 3.3169
_cell_length_b 3.3169
_cell_length_c 26.8667
_cell_angle_alpha 90.00
_cell_angle_beta 90.00
_cell_angle_gamma 120.00
loop_
_atom_site_label
_atom_site_type_symbol
_atom_site_fract_x
_atom_site_fract_y
_atom_site_fract_z
_atom_site_occupancy
Zr1 Zr 0.0000 0.0000 0.2380 1
Tl1 Tl 0.0000 0.0000 0.0000 1
Ru1 Ru 0.0000 0.0000 0.5000 1
```

=====

No. 7
ZrTl2Ru | PBE | optimized geometry

Output
* DFT total energy: -5.3046 eV/atom

Cell and atoms, written as CIF:
```
data_ZrTl2Ru
_chemical_formula_sum 'Zr4 Tl8 Ru4'
_space_group_name_H-M_alt 'F -4 3 m'
_space_group_IT_number 216
_space_group_name_Hall 'F -4 2 3'
_cell_length_a 6.954
_cell_length_b 6.954
_cell_length_c 6.954
_cell_angle_alpha 90.00
_cell_angle_beta 90.00
_cell_angle_gamma 90.00
loop_
_atom_site_label
_atom_site_type_symbol
_atom_site_fract_x
_atom_site_fract_y
_atom_site_fract_z
_atom_site_occupancy
Zr1 Zr 0.000 0.000 0.000 1
Tl1 Tl 0.000 0.000 0.500 1
Tl2 Tl 0.250 0.250 0.250 1
Ru1 Ru 0.250 0.250 0.750 1
```

=====

No. 8
Zr2TlRu | PBE | optimized geometry

Output
* DFT total energy: -7.2492 eV/atom

Cell and atoms, written as CIF:
```
data_Zr2TlRu
_chemical_formula_sum 'Zr4 Tl2 Ru2'
_space_group_name_H-M_alt 'I -4 m 2'
_space_group_IT_number 119
_space_group_name_Hall 'I -4 -2'
_cell_length_a 4.131
_cell_length_b 4.131
_cell_length_c 9.418
_cell_angle_alpha 90.00
_cell_angle_beta 90.00
_cell_angle_gamma 90.00
loop_
_atom_site_label
_atom_site_type_symbol
_atom_site_fract_x
_atom_site_fract_y
_atom_site_fract_z
_atom_site_occupancy
Zr1 Zr 0.000 0.000 0.000 1
Zr2 Zr 0.000 0.500 0.250 1
Tl1 Tl 0.000 0.000 0.500 1
Ru1 Ru 0.000 0.500 0.750 1
```

=====

No. 9
ZrTl2Ru | PBE | optimized geometry

Output
* DFT total energy: -5.2836 eV/atom

Cell and atoms, written as CIF:
```
data_ZrTl2Ru
_chemical_formula_sum 'Zr3 Tl6 Ru3'
_space_group_name_H-M_alt 'R -3 m'
_space_group_IT_number 166
_space_group_name_Hall '-R 3 2"'
_cell_length_a 3.2331
_cell_length_b 3.2331
_cell_length_c 28.0325
_cell_angle_alpha 90.00
_cell_angle_beta 90.00
_cell_angle_gamma 120.00
loop_
_atom_site_label
_atom_site_type_symbol
_atom_site_fract_x
_atom_site_fract_y
_atom_site_fract_z
_atom_site_occupancy
Zr1 Zr 0.0000 0.0000 0.0000 1
Tl1 Tl 0.0000 0.0000 0.2422 1
Ru1 Ru 0.0000 0.0000 0.5000 1
```

=====

No. 10
Zr2TlRu | PBE | optimized geometry

Output
* DFT total energy: -7.3041 eV/atom

Cell and atoms, written as CIF:
```
data_Zr2TlRu
_chemical_formula_sum 'Zr2 Tl1 Ru1'
_space_group_name_H-M_alt 'P 4/m m m'
_space_group_IT_number 123
_space_group_name_Hall '-P 4 2'
_cell_length_a 4.565
_cell_length_b 4.565
_cell_length_c 3.851
_cell_angle_alpha 90.00
_cell_angle_beta 90.00
_cell_angle_gamma 90.00
loop_
_atom_site_label
_atom_site_type_symbol
_atom_site_fract_x
_atom_site_fract_y
_atom_site_fract_z
_atom_site_occupancy
Zr1 Zr 0.000 0.500 0.000 1
Tl1 Tl 0.000 0.000 0.500 1
Ru1 Ru 0.500 0.500 0.500 1
```

=====

No. 11
Zr5TlRu4 | PBE | optimized geometry

Output
* DFT total energy: -8.7220 eV/atom

Cell and atoms, written as CIF:
```
data_Zr5TlRu4
_chemical_formula_sum 'Zr5 Tl1 Ru4'
_space_group_name_H-M_alt 'P 4/m m m'
_space_group_IT_number 123
_space_group_name_Hall '-P 4 2'
_cell_length_a 3.242
_cell_length_b 3.242
_cell_length_c 17.881
_cell_angle_alpha 90.00
_cell_angle_beta 90.00
_cell_angle_gamma 90.00
loop_
_atom_site_label
_atom_site_type_symbol
_atom_site_fract_x
_atom_site_fract_y
_atom_site_fract_z
_atom_site_occupancy
Zr1 Zr 0.000 0.000 0.000 1
Zr2 Zr 0.000 0.000 0.186 1
Zr3 Zr 0.000 0.000 0.372 1
Tl1 Tl 0.500 0.500 0.500 1
Ru1 Ru 0.500 0.500 0.092 1
Ru2 Ru 0.500 0.500 0.277 1
```

=====

No. 12
ZrTl2Ru | PBE | optimized geometry

Output
* DFT total energy: -5.3798 eV/atom

Cell and atoms, written as CIF:
```
data_ZrTl2Ru
_chemical_formula_sum 'Zr1 Tl2 Ru1'
_space_group_name_H-M_alt 'P 1 2/m 1'
_space_group_IT_number 10
_space_group_name_Hall '-P 2y'
_cell_length_a 3.349
_cell_length_b 4.900
_cell_length_c 5.209
_cell_angle_alpha 90.00
_cell_angle_beta 94.85
_cell_angle_gamma 90.00
loop_
_atom_site_label
_atom_site_type_symbol
_atom_site_fract_x
_atom_site_fract_y
_atom_site_fract_z
_atom_site_occupancy
Zr1 Zr 0.000 0.000 0.000 1
Tl1 Tl 0.296 0.500 0.739 1
Ru1 Ru 0.500 0.000 0.500 1
```

=====

No. 13
ZrTl2Ru | PBE | optimized geometry

Output
* DFT total energy: -5.6332 eV/atom

Cell and atoms, written as CIF:
```
data_ZrTl2Ru
_chemical_formula_sum 'Zr1 Tl2 Ru1'
_space_group_name_H-M_alt 'P 1 m 1'
_space_group_IT_number 6
_space_group_name_Hall 'P -2y'
_cell_length_a 3.295
_cell_length_b 3.271
_cell_length_c 8.680
_cell_angle_alpha 90.00
_cell_angle_beta 100.47
_cell_angle_gamma 90.00
loop_
_atom_site_label
_atom_site_type_symbol
_atom_site_fract_x
_atom_site_fract_y
_atom_site_fract_z
_atom_site_occupancy
Zr1 Zr 0.000 0.000 0.000 1
Tl1 Tl 0.634 0.500 0.276 1
Tl2 Tl 0.817 0.000 0.606 1
Ru1 Ru 0.423 0.500 0.837 1
```